A geometry-optimized Dy3Fe structure, computed with PBE-GGA.

POSCAR file:
```
Dy3Fe
1.0
4.677 0.000 0.000
0.000 4.677 0.000
0.000 0.000 4.677
Dy Fe
3 1
Direct
0.000 0.500 0.500
0.500 0.500 0.000
0.500 0.000 0.500
0.000 0.000 0.000
```

Summary:
* E: -20.9 eV per cell
* volume: 102 Å³/cell
* M_tot: 0.518 μB/atom

A geometry-optimized AgGeSeS2 structure, computed with PBE-GGA.

POSCAR file:
```
AgGeSeS2
1.0
-5.733 -4.700 1.882
-2.821 -6.761 2.197
2.263 4.483 8.438
Ag Se S Ge
2 2 4 2
Direct
0.391 0.391 0.522
0.609 0.609 0.478
0.925 0.925 0.722
0.075 0.075 0.278
0.630 0.630 0.958
0.370 0.370 0.042
0.824 0.824 0.346
0.176 0.176 0.654
0.091 0.091 0.812
0.909 0.909 0.188
```

Summary:
* E: -39.7 eV per cell
* volume: 253 Å³/cell

A geometry-optimized LiFeCu4Sn2 structure, computed with PBE-GGA.

POSCAR file:
```
LiFeCu4Sn2
1.0
4.320 0.000 0.000
0.000 4.320 0.000
0.000 0.000 6.268
Cu Sn Fe Li
4 2 1 1
Direct
0.000 0.500 0.249
0.500 0.000 0.751
0.500 0.000 0.249
0.000 0.500 0.751
0.000 0.000 0.000
0.500 0.500 0.500
0.500 0.500 0.000
0.000 0.000 0.500
```

Summary:
* E: -33.0 eV per cell
* volume: 117 Å³/cell
* M_tot: 0.365 μB/atom